The following is a DFT calculation (PBE) of crystalline PaGaO3 at its relaxed geometry.

Unit cell a=6.1227 b=6.1227 c=15.5373 alpha=90.00 beta=90.00 gamma=120.00
Space group R-3 (No. 148, hexagonal axes)
Inequivalent atoms, fractional coordinates:
Pa: 0.0000 0.0000 0.1573 (multiplicity 6)
Ga: 0.0000 0.0000 0.3785 (multiplicity 6)
O: 0.0151 0.6200 0.4275 (multiplicity 18)

Electronic total energy ... -227.0 eV per cell
Crystal system ... trigonal